(A)
DFT (PBE-GGA) results for HfGeSeBr2 after structural relaxation.

The structure belongs to space group P4/mmm (No. 123); the cell edges are 5.265, 5.265 and 5.206 Å and the angles 90.00°, 90.00° and 90.00°. The distinct sites, in fractional coordinates, are Hf at (0.000, 0.000, 0.000), Ge at (0.500, 0.500, 0.500), Se at (0.000, 0.000, 0.500) and Br at (0.000, 0.500, 0.000).

Its calculated volume is 144.33 Å³/cell.

(B)
DFT (PBE-GGA) results for HfGeSeBr2 after structural relaxation.

The structure belongs to space group P4/mmm (No. 123); the cell edges are 5.123, 5.123 and 5.316 Å and the angles 90.00°, 90.00° and 90.00°. The distinct sites, in fractional coordinates, are Hf at (0.000, 0.000, 0.000), Ge at (0.500, 0.500, 0.500), Se at (0.500, 0.500, 0.000) and Br at (0.000, 0.500, 0.500).

Its calculated volume is 139.52 Å³/cell.

Computed stability ranking, most favorable first: (A), (B)

(A)
DFT (PBE-GGA) results for HfGeSe2Br after structural relaxation.

The structure belongs to space group P4/mmm (No. 123); the cell edges are 5.030, 5.030 and 4.952 Å and the angles 90.00°, 90.00° and 90.00°. The distinct sites, in fractional coordinates, are Hf at (0.000, 0.000, 0.000), Ge at (0.500, 0.500, 0.500), Se at (0.000, 0.500, 0.500) and Br at (0.500, 0.500, 0.000).

Its calculated volume is 125.30 Å³/cell.

(B)
DFT (PBE-GGA) results for HfGeSe2Br after structural relaxation.

The structure belongs to space group P4/mmm (No. 123); the cell edges are 4.936, 4.936 and 5.322 Å and the angles 90.00°, 90.00° and 90.00°. The distinct sites, in fractional coordinates, are Hf at (0.000, 0.000, 0.000), Ge at (0.000, 0.000, 0.500), Se at (0.000, 0.500, 0.500) and Br at (0.500, 0.500, 0.000).

Its calculated volume is 129.65 Å³/cell.

(C)
DFT (PBE-GGA) results for HfGeSe2Br after structural relaxation.

The structure belongs to space group P4/mmm (No. 123); the cell edges are 5.200, 5.200 and 5.192 Å and the angles 90.00°, 90.00° and 90.00°. The distinct sites, in fractional coordinates, are Hf at (0.000, 0.000, 0.000), Ge at (0.500, 0.500, 0.500), Se at (0.000, 0.500, 0.000) and Br at (0.000, 0.000, 0.500).

Its calculated volume is 140.40 Å³/cell.

Computed stability ranking, most favorable first: (C), (A), (B)

(A)
DFT (PBE-GGA) results for Hg2GeBr after structural relaxation.

The structure belongs to space group Fm-3m (No. 225); the cell edges are 7.478, 7.478 and 7.478 Å and the angles 90.00°, 90.00° and 90.00°. The distinct sites, in fractional coordinates, are Hg at (0.250, 0.250, 0.250), Ge at (0.000, 0.000, 0.000) and Br at (0.000, 0.000, 0.500).

Its calculated volume is 418.24 Å³/cell.

(B)
DFT (PBE-GGA) results for Hg2GeBr after structural relaxation.

The structure belongs to space group I-42d (No. 122); the cell edges are 6.602, 6.602 and 12.674 Å and the angles 90.00°, 90.00° and 90.00°. The distinct sites, in fractional coordinates, are Hg at (0.196, 0.250, 0.125), Ge at (0.000, 0.000, 0.000) and Br at (0.000, 0.000, 0.500).

Its calculated volume is 552.49 Å³/cell.

Computed stability ranking, most favorable first: (B), (A)

(A)
DFT (PBE-GGA) results for Hg2Ge2Br after structural relaxation.

The structure belongs to space group I4/mmm (No. 139); the cell edges are 5.056, 5.056 and 10.171 Å and the angles 90.00°, 90.00° and 90.00°. The distinct sites, in fractional coordinates, are Hg at (0.000, 0.500, 0.250), Ge at (0.000, 0.000, 0.125) and Br at (0.000, 0.000, 0.500).

Its calculated volume is 260.02 Å³/cell.

(B)
DFT (PBE-GGA) results for Hg2Ge2Br after structural relaxation.

The structure belongs to space group I4/mmm (No. 139); the cell edges are 3.852, 3.852 and 17.240 Å and the angles 90.00°, 90.00° and 90.00°. The distinct sites, in fractional coordinates, are Hg at (0.000, 0.000, 0.106), Ge at (0.000, 0.500, 0.250) and Br at (0.000, 0.000, 0.500).

Its calculated volume is 255.81 Å³/cell.

Computed stability ranking, most favorable first: (B), (A)

(A)
DFT (PBE-GGA) results for HgGe3Br after structural relaxation.

The structure belongs to space group Pm-3m (No. 221); the cell edges are 5.345, 5.345 and 5.345 Å and the angles 90.00°, 90.00° and 90.00°. The distinct sites, in fractional coordinates, are Hg at (0.000, 0.000, 0.000), Ge at (0.000, 0.000, 0.500) and Br at (0.500, 0.500, 0.500).

Its calculated volume is 152.66 Å³/cell.

(B)
DFT (PBE-GGA) results for HgGe3Br after structural relaxation.

The structure belongs to space group Pm-3m (No. 221); the cell edges are 5.230, 5.230 and 5.230 Å and the angles 90.00°, 90.00° and 90.00°. The distinct sites, in fractional coordinates, are Hg at (0.000, 0.000, 0.000), Ge at (0.000, 0.500, 0.500) and Br at (0.500, 0.500, 0.500).

Its calculated volume is 143.06 Å³/cell.

Computed stability ranking, most favorable first: (A), (B)

(A)
DFT (PBE-GGA) results for HgGeBr3 after structural relaxation.

The structure belongs to space group Pm-3m (No. 221); the cell edges are 5.377, 5.377 and 5.377 Å and the angles 90.00°, 90.00° and 90.00°. The distinct sites, in fractional coordinates, are Hg at (0.000, 0.000, 0.000), Ge at (0.500, 0.500, 0.500) and Br at (0.000, 0.500, 0.500).

Its calculated volume is 155.46 Å³/cell.

(B)
DFT (PBE-GGA) results for HgGeBr3 after structural relaxation.

The structure belongs to space group Pm-3m (No. 221); the cell edges are 5.520, 5.520 and 5.520 Å and the angles 90.00°, 90.00° and 90.00°. The distinct sites, in fractional coordinates, are Hg at (0.000, 0.000, 0.000), Ge at (0.500, 0.500, 0.500) and Br at (0.000, 0.000, 0.500).

Its calculated volume is 168.21 Å³/cell.

Computed stability ranking, most favorable first: (A), (B)

(A)
DFT (PBE-GGA) results for Rb2HgGeBr6 after structural relaxation.

The structure belongs to space group I4/mmm (No. 139); the cell edges are 7.917, 7.917 and 11.216 Å and the angles 90.00°, 90.00° and 90.00°. The distinct sites, in fractional coordinates, are Rb at (0.000, 0.500, 0.250), Hg at (0.000, 0.000, 0.000), Ge at (0.000, 0.000, 0.500), Br at (0.000, 0.000, 0.254) and Br at (0.246, 0.246, 0.500).

Its calculated volume is 703.04 Å³/cell.

(B)
DFT (PBE-GGA) results for Rb2HgGeBr6 after structural relaxation.

The structure belongs to space group P1 (No. 1); the cell edges are 7.994, 7.996 and 9.081 Å and the angles 90.02°, 116.10° and 119.97°. The distinct sites, in fractional coordinates, are Rb at (0.000, 0.000, 0.000), Rb at (0.029, 0.515, 0.543), Hg at (0.479, 0.740, 0.219), Ge at (0.572, 0.285, 0.857), Br at (0.113, 0.662, 0.198), Br at (0.159, 0.993, 0.696), Br at (0.531, 0.537, 0.696), Br at (0.536, 0.451, 0.198), Br at (0.702, 0.164, 0.695) and Br at (0.747, 0.085, 0.198).

Its calculated volume is 433.05 Å³/cell.

Computed stability ranking, most favorable first: (B), (A)

(A)
DFT (PBE-GGA) results for GeIBr2 after structural relaxation.

The structure belongs to space group R-3m (No. 166, hexagonal axes); the cell edges are 3.8375, 3.8375 and 37.1808 Å and the angles 90.00°, 90.00° and 120.00°. The distinct sites, in fractional coordinates, are Ge at (0.0000, 0.0000, 0.0000), I at (0.0000, 0.0000, 0.5000) and Br at (0.0000, 0.0000, 0.3795).

Its calculated volume is 474.18 Å³/cell.

(B)
DFT (PBE-GGA) results for GeIBr2 after structural relaxation.

The structure belongs to space group I-42d (No. 122); the cell edges are 8.231, 8.231 and 11.400 Å and the angles 90.00°, 90.00° and 90.00°. The distinct sites, in fractional coordinates, are Ge at (0.000, 0.000, 0.000), I at (0.000, 0.000, 0.500) and Br at (0.090, 0.250, 0.125).

Its calculated volume is 772.39 Å³/cell.

(C)
DFT (PBE-GGA) results for GeIBr2 after structural relaxation.

The structure belongs to space group R-3m (No. 166, hexagonal axes); the cell edges are 3.2896, 3.2896 and 41.5301 Å and the angles 90.00°, 90.00° and 120.00°. The distinct sites, in fractional coordinates, are Ge at (0.0000, 0.0000, 0.0000), I at (0.0000, 0.0000, 0.5000) and Br at (0.0000, 0.0000, 0.0646).

Its calculated volume is 389.21 Å³/cell.

(D)
DFT (PBE-GGA) results for GeIBr2 after structural relaxation.

The structure belongs to space group Fm-3m (No. 225); the cell edges are 7.658, 7.658 and 7.658 Å and the angles 90.00°, 90.00° and 90.00°. The distinct sites, in fractional coordinates, are Ge at (0.000, 0.000, 0.000), I at (0.000, 0.000, 0.500) and Br at (0.250, 0.250, 0.250).

Its calculated volume is 449.06 Å³/cell.

Computed stability ranking, most favorable first: (A), (B), (C), (D)

(A)
DFT (PBE-GGA) results for Ge2I3Br after structural relaxation.

The structure belongs to space group C2/m (No. 12); the cell edges are 19.281, 4.239 and 14.642 Å and the angles 90.00°, 127.21° and 90.00°. The distinct sites, in fractional coordinates, are Ge at (0.243, 0.000, 0.122), Ge at (0.246, 0.500, 0.371), I at (0.127, 0.000, 0.195), I at (0.133, 0.500, 0.945), I at (0.136, 0.500, 0.457) and Br at (0.157, 0.000, 0.716).

Its calculated volume is 952.96 Å³/cell.

(B)
DFT (PBE-GGA) results for Ge2I3Br after structural relaxation.

The structure belongs to space group C2/m (No. 12); the cell edges are 30.920, 4.289 and 8.344 Å and the angles 90.00°, 104.90° and 90.00°. The distinct sites, in fractional coordinates, are Ge at (0.063, 0.000, 0.177), Ge at (0.189, 0.500, 0.296), I at (0.022, 0.000, 0.791), I at (0.093, 0.500, 0.424), I at (0.248, 0.000, 0.248) and Br at (0.140, 0.500, 0.017).

Its calculated volume is 1069.41 Å³/cell.

Computed stability ranking, most favorable first: (A), (B)

(A)
DFT (PBE-GGA) results for GeIBrO2 after structural relaxation.

The structure belongs to space group P4/mmm (No. 123); the cell edges are 4.055, 4.055 and 6.676 Å and the angles 90.00°, 90.00° and 90.00°. The distinct sites, in fractional coordinates, are Ge at (0.000, 0.000, 0.000), I at (0.500, 0.500, 0.000), Br at (0.500, 0.500, 0.500) and O at (0.000, 0.500, 0.500).

Its calculated volume is 109.76 Å³/cell.

(B)
DFT (PBE-GGA) results for GeIBrO2 after structural relaxation.

The structure belongs to space group P4/mmm (No. 123); the cell edges are 3.928, 3.928 and 6.620 Å and the angles 90.00°, 90.00° and 90.00°. The distinct sites, in fractional coordinates, are Ge at (0.000, 0.000, 0.000), I at (0.000, 0.000, 0.500), Br at (0.500, 0.500, 0.500) and O at (0.000, 0.500, 0.000).

Its calculated volume is 102.15 Å³/cell.

Computed stability ranking, most favorable first: (B), (A)

(A)
DFT (PBE-GGA) results for GeSeIBr2 after structural relaxation.

The structure belongs to space group P4/mmm (No. 123); the cell edges are 5.707, 5.707 and 5.488 Å and the angles 90.00°, 90.00° and 90.00°. The distinct sites, in fractional coordinates, are Ge at (0.000, 0.000, 0.000), Se at (0.500, 0.500, 0.000), I at (0.500, 0.500, 0.500) and Br at (0.000, 0.500, 0.500).

Its calculated volume is 178.73 Å³/cell.

(B)
DFT (PBE-GGA) results for GeSeIBr2 after structural relaxation.

The structure belongs to space group P4/mmm (No. 123); the cell edges are 5.055, 5.055 and 5.840 Å and the angles 90.00°, 90.00° and 90.00°. The distinct sites, in fractional coordinates, are Ge at (0.000, 0.000, 0.000), Se at (0.000, 0.000, 0.500), I at (0.500, 0.500, 0.500) and Br at (0.000, 0.500, 0.000).

Its calculated volume is 149.27 Å³/cell.

Computed stability ranking, most favorable first: (B), (A)

(A)
DFT (PBE-GGA) results for TlGeI2Br after structural relaxation.

The structure belongs to space group P4/mmm (No. 123); the cell edges are 5.926, 5.926 and 5.461 Å and the angles 90.00°, 90.00° and 90.00°. The distinct sites, in fractional coordinates, are Tl at (0.000, 0.000, 0.000), Ge at (0.500, 0.500, 0.500), I at (0.000, 0.500, 0.500) and Br at (0.500, 0.500, 0.000).

Its calculated volume is 191.77 Å³/cell.

(B)
DFT (PBE-GGA) results for TlGeI2Br after structural relaxation.

The structure belongs to space group I4cm (No. 108); the cell edges are 8.255, 8.255 and 11.439 Å and the angles 90.00°, 90.00° and 90.00°. The distinct sites, in fractional coordinates, are Tl at (0.000, 0.500, 0.000), Ge at (0.000, 0.000, 0.228), I at (0.189, 0.311, 0.250) and Br at (0.000, 0.000, 0.008).

Its calculated volume is 779.49 Å³/cell.

Computed stability ranking, most favorable first: (B), (A)